(1)
RbAlCdBi2 | PBE | relaxed

Cell: 5.7496 5.7496 6.2635 Å, 90.00 90.00 90.00°
With the nearest neighbours (Å) after each atom.
Atoms (fractional coordinates):
Al: 0.5000 0.5000 0.5000  4 Rb 4.07, 8 Bi 4.25
Bi: 0.0000 0.5000 0.0000  2 Cd 2.87
Rb: 0.0000 0.0000 0.5000  2 Cd 3.13
Cd: 0.0000 0.0000 0.0000  4 Bi 2.87, 2 Rb 3.13
Bi: 0.5000 0.0000 0.0000  2 Cd 2.87

magnetic moment = 0.00 μB/cell
uncorrected energy = -2.179 eV/atom
space group = No. 123

=====

(2)
Al2CdBiS | PBE | relaxed

Cell: 4.9456 4.9456 5.8247 Å, 90.00 90.00 90.00°
With the nearest neighbours (Å) after each atom.
Atoms (fractional coordinates):
Cd: 0.0000 0.0000 0.0000  4 Al 2.47
S: 0.5000 0.5000 0.5000  4 Bi 3.50, 8 Al 3.82
Al: 0.0000 0.5000 0.0000  2 Cd 2.47
Al: 0.5000 0.0000 0.0000  2 Cd 2.47
Bi: 0.0000 0.0000 0.5000  2 Cd 2.91

magnetic moment = 0.00 μB/cell
energy relative to the elements, uncorrected = 0.721 eV per atom
space group = No. 123

=====

(3)
TiAlCd2Bi | PBE | relaxed

Cell: 5.6485 5.3466 5.6485 Å, 90.00 90.00 90.00°
With the nearest neighbours (Å) after each atom.
Atoms (fractional coordinates):
Ti: 0.5000 0.5000 0.5000  8 Cd 3.89, 4 Al 3.99
Cd: 0.0000 0.0000 0.5000  2 Bi 2.82
Al: 0.0000 0.5000 0.0000  2 Bi 2.67
Bi: 0.0000 0.0000 0.0000  2 Al 2.67, 4 Cd 2.82
Cd: 0.5000 0.0000 0.0000  2 Bi 2.82

magnetic moment = 0.11 μB/cell
uncorrected energy = -2.225 eV/atom
space group = No. 123

=====

(4)
AlCdBiW2 | PBE | relaxed

Cell: 5.0076 5.3317 5.0076 Å, 90.00 90.00 90.00°
With the nearest neighbours (Å) after each atom.
Atoms (fractional coordinates):
Cd: 0.0000 0.0000 0.0000  4 W 2.50, 2 Bi 2.67
Bi: 0.0000 0.5000 0.0000  2 Cd 2.67
W: 0.5000 0.0000 0.0000  2 Cd 2.50
W: 0.0000 0.0000 0.5000  2 Cd 2.50
Al: 0.5000 0.5000 0.5000  4 Bi 3.54, 8 W 3.66

magnetic moment = 0.00 μB/cell
uncorrected energy = -4.328 eV/atom
space group = No. 123

=====

(5)
Ce6Al2Bi | PBE | relaxed

Cell: 3.1154 9.0128 9.0128 Å, 120.00 90.00 90.00°
With the nearest neighbours (Å) after each atom.
Atoms (fractional coordinates):
Al: 0.0000 0.6667 0.3333  2 Al 3.12, 12 Ce 3.32
Ce: 0.5000 0.6511 0.0000  1 Ce 2.72
Ce: 0.5000 0.3489 0.0000  1 Ce 2.72
Ce: 0.5000 0.0000 0.3489  1 Ce 2.72
Al: 0.0000 0.3333 0.6667  2 Al 3.12, 12 Ce 3.32
Ce: 0.5000 0.3489 0.3489  1 Ce 2.72
Ce: 0.5000 0.0000 0.6511  1 Ce 2.72
Ce: 0.5000 0.6511 0.6511  1 Ce 2.72
Bi: 0.0000 0.0000 0.0000  2 Bi 3.12

magnetic moment = 2.51 μB/cell
uncorrected energy = -5.423 eV/atom
space group = No. 191

=====

(6)
Ce2AlBi | PBE | relaxed

Cell: 3.4258 3.4258 11.4545 Å, 81.40 81.40 60.00°
With the nearest neighbours (Å) after each atom.
Atoms (fractional coordinates):
Al: 0.5000 0.5000 0.5000  6 Ce 3.10, 6 Al 3.43
Ce: 0.9038 0.9038 0.2886  3 Al 3.10, 1 Bi 3.26, 6 Ce 3.43
Bi: 0.0000 0.0000 0.0000  2 Ce 3.26, 6 Bi 3.43
Ce: 0.0962 0.0962 0.7114  3 Al 3.10, 1 Bi 3.26, 6 Ce 3.43

magnetic moment = 1.90 μB/cell
uncorrected energy = -4.899 eV/atom
space group = No. 166

=====

(7)
Ce2AlBi | PBE | relaxed

Cell: 4.1335 4.1335 6.3385 Å, 90.00 90.00 90.00°
With the nearest neighbours (Å) after each atom.
Atoms (fractional coordinates):
Bi: 0.5000 0.5000 0.0000  2 Al 3.17, 8 Ce 3.42
Ce: 0.0000 0.0000 0.7192  1 Ce 2.78
Al: 0.5000 0.5000 0.5000  2 Bi 3.17, 8 Ce 3.24
Ce: 0.0000 0.0000 0.2808  1 Ce 2.78

magnetic moment = 2.19 μB/cell
uncorrected energy = -5.321 eV/atom
space group = No. 123

=====

(8)
Ce4AlBi | PBE | relaxed

Cell: 5.3665 6.0775 6.0775 Å, 94.02 63.80 63.80°
With the nearest neighbours (Å) after each atom.
Atoms (fractional coordinates):
Ce: 0.7585 0.5879 0.8950  2 Ce 2.73-3.05
Ce: 0.2414 0.1050 0.4121  2 Ce 2.73-3.05
Bi: 0.0000 0.0000 0.0000  2 Al 3.16, 12 Ce 3.43-3.44
Ce: 0.2414 0.4121 0.1050  2 Ce 2.73-3.05
Al: 0.5000 0.5000 0.5000  2 Bi 3.16, 12 Ce 3.37-3.49
Ce: 0.7585 0.8950 0.5879  2 Ce 2.73-3.05

magnetic moment = 1.60 μB/cell
uncorrected energy = -5.446 eV/atom
space group = No. 71

=====

(9)
AlBiCl6 | PBE | relaxed

Cell: 6.4119 6.4120 6.8620 Å, 62.14 62.14 59.99°
With the nearest neighbours (Å) after each atom.
Atoms (fractional coordinates):
Cl: 0.6168 0.2214 0.2310  1 Al 2.35
Al: 0.0000 0.0000 0.0000  6 Cl 2.35
Cl: 0.7786 0.0693 0.7691  1 Al 2.35
Bi: 0.5000 0.5000 0.5000  6 Cl 2.76
Cl: 0.9307 0.6169 0.2310  1 Al 2.35
Cl: 0.3832 0.7786 0.7690  1 Al 2.35
Cl: 0.0693 0.3831 0.7690  1 Al 2.35
Cl: 0.2214 0.9307 0.2309  1 Al 2.35

magnetic moment = 0.00 μB/cell
energy relative to the elements, uncorrected = -1.160 eV per atom
space group = No. 148

=====

(10)
Al3BiCl | PBE | relaxed

Cell: 5.0622 5.0622 5.0622 Å, 90.00 90.00 90.00°
With the nearest neighbours (Å) after each atom.
Atoms (fractional coordinates):
Al: 0.5000 0.0000 0.0000  2 Cl 2.53
Bi: 0.5000 0.5000 0.5000  12 Al 3.58
Al: 0.0000 0.5000 0.0000  2 Cl 2.53
Al: 0.0000 0.0000 0.5000  2 Cl 2.53
Cl: 0.0000 0.0000 0.0000  6 Al 2.53

magnetic moment = 0.00 μB/cell
energy relative to the elements, uncorrected = 0.460 eV per atom
space group = No. 221

=====

(11)
Al2Bi2Cl | PBE | relaxed

Cell: 4.8199 4.8199 6.9165 Å, 69.61 69.61 90.00°
With the nearest neighbours (Å) after each atom.
Atoms (fractional coordinates):
Al: 0.3942 0.3942 0.2115  1 Al 2.55
Al: 0.6058 0.6058 0.7885  1 Al 2.55
Cl: 0.0000 0.0000 0.0000  8 Al 3.64, 8 Bi 3.86
Bi: 0.2500 0.7500 0.5000  4 Al 2.97
Bi: 0.7500 0.2500 0.5000  4 Al 2.97

magnetic moment = 0.00 μB/cell
energy relative to the elements, uncorrected = 0.003 eV per atom
space group = No. 139

=====

(12)
Al3BiCl | PBE | relaxed

Cell: 5.7814 5.7814 5.7814 Å, 90.00 90.00 90.00°
With the nearest neighbours (Å) after each atom.
Atoms (fractional coordinates):
Al: 0.0000 0.5000 0.0000  2 Bi 2.89
Cl: 0.5000 0.5000 0.5000  12 Al 4.09
Al: 0.5000 0.0000 0.0000  2 Bi 2.89
Al: 0.0000 0.0000 0.5000  2 Bi 2.89
Bi: 0.0000 0.0000 0.0000  6 Al 2.89

magnetic moment = 0.00 μB/cell
energy relative to the elements, uncorrected = 0.723 eV per atom
space group = No. 221